The following is a PBE with a Hubbard U calculation of PmV2RhO8 after structural relaxation, from the Alexandria database.

energy	-87.92	eV per formula unit
crystal system	tetragonal
symmetry	I-4m2 (119)
total magnetization	4.0	μB per formula unit

a b c (Å): 6.021 6.021 6.021
angles (deg): 106.08 106.08 116.50
Element x y z (fractional)
Pm  0.000  0.000  0.000
V  0.500  0.500  0.000
V  0.750  0.250  0.500
Rh  0.250  0.750  0.500
O  0.327  0.139  0.812
O  0.327  0.515  0.188
O  0.389  0.070  0.320
O  0.485  0.673  0.812
O  0.750  0.070  0.680
O  0.861  0.673  0.188
O  0.930  0.250  0.320
O  0.930  0.611  0.680